VASP calculation (PBE with a Hubbard U) on a geometry-optimized NiBrN2F structure.

abc: 3.9157 3.9157 3.7978
angles: 90.00 90.00 90.00
Site moments in Bohr magnetons follow the coordinates.
Element x y z (fractional)
Br 0.5000 0.5000 0.5000  -0.04
N 0.0000 0.5000 0.0000  0.59
N 0.5000 0.0000 0.0000  0.59
Ni 0.0000 0.0000 0.0000  0.43
F 0.0000 0.0000 0.5000  -0.02

Results
As for the calculated volume: 11.65 Å³ per atom. As for the total moment: 2.01 μB/f.u. As for the energy: -3.23 eV per atom. As for the distance to the lowest polymorph of the same formula: 0 meV per atom.